Record 1
Mn2InTe | GGA-PBE | optimized geometry

Summary:
* total magnetization: 7.1 μB/f.u.
* SG: No. 71
* energy relative to the lowest polymorph listed for this composition: 0.159 eV/atom
* formation energy (no corrections): 0.3410 eV/atom

POSCAR file:
```
Mn2InTe
1.0
-2.060 2.415 3.954
2.060 -2.415 3.954
2.060 2.415 -3.954
Mn In Te
2 1 1
direct
0.250 0.250 0.000
0.750 0.750 0.000
0.500 0.000 0.500
0.000 0.500 0.500
```

Record 2
Na2Li2Zn | GGA-PBE | optimized geometry

Summary:
* total magnetization: 0.0 μB/f.u.
* SG: No. 127
* energy relative to the lowest polymorph listed for this composition: 0.000 eV/atom
* E_form: 0.3 eV/f.u.

POSCAR file:
```
Na2Li2Zn
1.0
6.943 0.000 0.000
0.000 6.943 0.000
0.000 0.000 5.122
Na Li Zn
4 4 2
direct
0.180 0.320 0.000
0.320 0.820 0.000
0.680 0.180 0.000
0.820 0.680 0.000
0.145 0.645 0.500
0.355 0.145 0.500
0.645 0.855 0.500
0.855 0.355 0.500
0.000 0.000 0.500
0.500 0.500 0.500
```

Record 3
NdDyZnSi | GGA-PBE | optimized geometry

Summary:
* total magnetization: 0.0 μB/f.u.
* SG: No. 216
* energy relative to the lowest polymorph listed for this composition: 0.096 eV/atom
* formation energy (no corrections): -0.4397 eV/atom

POSCAR file:
```
NdDyZnSi
1.0
0.000 3.582 3.582
3.582 0.000 3.582
3.582 3.582 0.000
Nd Dy Zn Si
1 1 1 1
direct
0.000 0.000 0.000
0.500 0.500 0.500
0.750 0.750 0.750
0.250 0.250 0.250
```

Record 4
Mg2HIr4 | GGA-PBE | optimized geometry

Summary:
* total magnetization: 0.0 μB/f.u.
* SG: No. 5
* energy relative to the lowest polymorph listed for this composition: 0.000 eV/atom

POSCAR file:
```
Mg2HIr4
1.0
4.272 -2.458 0.000
4.272 2.458 0.000
-2.837 0.000 4.518
Mg H Ir
2 1 4
direct
0.161 0.161 0.483
0.839 0.839 0.517
0.999 0.001 0.000
0.001 0.372 0.001
0.372 0.628 0.000
0.501 0.499 0.500
0.628 0.999 0.999
```

Record 5
In2GaSb | GGA-PBE | optimized geometry

Summary:
* total magnetization: 0.0 μB/f.u.
* SG: No. 123
* energy relative to the lowest polymorph listed for this composition: 0.000 eV/atom
* formation energy (no corrections): 0.0518 eV/atom

POSCAR file:
```
In2GaSb
1.0
4.774 0.000 0.000
0.000 4.774 0.000
0.000 0.000 4.591
In Ga Sb
2 1 1
direct
0.000 0.500 0.000
0.500 0.000 0.000
0.000 0.000 0.500
0.500 0.500 0.500
```

Record 6
Mg3MnTc | GGA-PBE | optimized geometry

Summary:
* total magnetization: 4.8 μB/f.u.
* SG: No. 221
* energy relative to the lowest polymorph listed for this composition: 0.000 eV/atom
* E_form: 5.1 eV/f.u.

POSCAR file:
```
Mg3MnTc
1.0
4.962 0.000 0.000
0.000 4.962 0.000
0.000 0.000 4.962
Mg Mn Tc
3 1 1
direct
0.000 0.000 0.500
0.000 0.500 0.000
0.500 0.000 0.000
0.500 0.500 0.500
0.000 0.000 0.000
```

Record 7
CuNi2Br | GGA-PBE | optimized geometry

Summary:
* total magnetization: 0.0 μB/f.u.
* SG: No. 123
* energy relative to the lowest polymorph listed for this composition: 0.206 eV/atom
* formation energy (no corrections): 0.5261 eV/atom

POSCAR file:
```
CuNi2Br
1.0
4.212 0.000 0.000
0.000 4.212 0.000
0.000 0.000 3.038
Cu Ni Br
1 2 1
direct
0.000 0.000 0.000
0.000 0.500 0.500
0.500 0.000 0.500
0.500 0.500 0.000
```

Record 8
YZr3Bi2 | GGA-PBE | optimized geometry

Summary:
* total magnetization: 0.0 μB/f.u.
* SG: No. 12
* E_form: -1.9 eV/f.u.

POSCAR file:
```
YZr3Bi2
1.0
9.054 -2.034 0.000
9.054 2.034 0.000
-3.783 0.000 8.485
Y Zr Bi
2 6 4
direct
0.114 0.114 0.127
0.886 0.886 0.873
0.060 0.060 0.659
0.311 0.311 0.102
0.371 0.371 0.523
0.629 0.629 0.477
0.689 0.689 0.898
0.940 0.940 0.341
0.246 0.246 0.710
0.486 0.486 0.162
0.514 0.514 0.838
0.754 0.754 0.290
```